# 1
The following is a DFT calculation (GGA-PBE) of crystalline ScHg2Pb at its relaxed geometry.

Summary:
**Calculated volume**: 24.960 Å³ per atom
**Total moment**: 0.3 μB per formula unit
**Formation energy from the elements**: -0.126 eV per atom

a = 3.5992 Å, b = 3.5992 Å, c = 7.7069 Å
α = 90.00°, β = 90.00°, γ = 90.09°
Each line ends with the local moment (μB).
Fractional positions:
Hg: 0.0000 0.0000 0.9853  0.01
Hg: 0.5000 0.5000 0.2260  0.01
Pb: 0.0000 0.0000 0.5100  0.01
Sc: 0.5000 0.5000 0.7788  0.18

# 2
The following is a DFT calculation (GGA-PBE) of crystalline Sc2Hg2Pb at its relaxed geometry.

Summary:
**Calculated volume**: 26.611 Å³ per atom
**Relative energy among the computed polymorphs**: 108 kJ/mol of formula units
**Total moment**: 0.8 μB per formula unit
**Formation energy from the elements**: -0.058 eV per atom

a = 4.6725 Å, b = 4.6725 Å, c = 6.9324 Å
α = 70.31°, β = 70.31°, γ = 90.00°
Each line ends with the local moment (μB).
Fractional positions:
Sc: 0.2500 0.7500 0.5000  0.26
Sc: 0.7500 0.2500 0.5000  0.26
Hg: 0.3881 0.3881 0.2238  0.01
Hg: 0.6119 0.6119 0.7762  0.01
Pb: 0.0000 0.0000 0.0000  0.00

# 3
The following is a DFT calculation (GGA-PBE) of crystalline Sc4HgPb at its relaxed geometry.

Summary:
**Calculated volume**: 24.507 Å³ per atom
**Total moment**: 0.0 μB per formula unit
**Formation energy from the elements**: 0.118 eV per atom

a = 5.9245 Å, b = 5.9245 Å, c = 5.9245 Å
α = 60.00°, β = 60.00°, γ = 60.00°
Fractional positions:
Sc: 0.3747 0.3747 0.3747
Sc: 0.8758 0.3747 0.3747
Sc: 0.3747 0.3747 0.8758
Sc: 0.3747 0.8758 0.3747
Hg: 0.7500 0.7500 0.7500
Pb: 0.0000 0.0000 0.0000

# 4
The following is a DFT calculation (GGA-PBE) of crystalline Sc6Hg5Pb at its relaxed geometry.

Summary:
**Calculated volume**: 22.250 Å³ per atom
**Total moment**: 1.4 μB per formula unit
**Formation energy from the elements**: -0.413 eV per atom

a = 5.0271 Å, b = 7.0319 Å, c = 7.9603 Å
α = 90.00°, β = 71.59°, γ = 90.00°
Each line ends with the local moment (μB).
Fractional positions:
Hg: 0.0000 0.5000 0.0000  0.01
Hg: 0.6650 0.5000 0.6699  0.01
Hg: 0.3350 0.5000 0.3301  0.01
Hg: 0.3274 0.0000 0.3452  0.01
Hg: 0.6726 0.0000 0.6548  0.01
Sc: 0.8312 0.7451 0.3375  0.15
Sc: 0.1688 0.7451 0.6625  0.15
Sc: 0.1688 0.2549 0.6625  0.15
Sc: 0.5000 0.7464 0.0000  0.17
Sc: 0.5000 0.2536 0.0000  0.17
Sc: 0.8312 0.2549 0.3375  0.15
Pb: 0.0000 0.0000 0.0000  -0.01

# 5
The following is a DFT calculation (GGA-PBE) of crystalline Sc2HgPb at its relaxed geometry.

Summary:
**Calculated volume**: 23.007 Å³ per atom
**Total moment**: 0.8 μB per formula unit
**Formation energy from the elements**: -0.359 eV per atom

a = 5.3281 Å, b = 5.3281 Å, c = 3.3328 Å
α = 90.01°, β = 90.01°, γ = 103.42°
Each line ends with the local moment (μB).
Fractional positions:
Sc: 0.0000 0.0000 0.0000  0.29
Sc: 0.5000 0.5000 0.0000  0.29
Pb: 0.0000 0.5000 0.5000  -0.01
Hg: 0.5000 0.0000 0.5000  0.00

# 6
The following is a DFT calculation (GGA-PBE) of crystalline ScHg6Pb at its relaxed geometry.

Summary:
**Calculated volume**: 24.550 Å³ per atom
**Total moment**: 0.0 μB per formula unit
**Formation energy from the elements**: -0.077 eV per atom

a = 4.5830 Å, b = 4.5829 Å, c = 9.3509 Å
α = 90.00°, β = 90.00°, γ = 90.00°
Fractional positions:
Hg: 0.5000 0.5000 0.0000
Hg: 0.0000 0.5000 0.7306
Hg: 0.5000 0.0000 0.7306
Hg: 0.0000 0.5000 0.2694
Hg: 0.5000 0.0000 0.2694
Hg: 0.5000 0.5000 0.5000
Sc: 0.0000 0.0000 0.5000
Pb: 0.0000 0.0000 0.0000